Density functional theory data (PBE) for CaSc2SiN4 after structural relaxation.

Properties
* formation energy (no corrections): -1.4856 eV/atom
* V: 384.9 Å³/cell
* total DFT energy (no corrections): -8.159 eV per atom

```
data_CaSc2SiN4
_symmetry_space_group_name_H-M 'C m c m'
_symmetry_Int_Tables_number 63
_symmetry_space_group_name_Hall '-C 2c 2'
_cell_length_a 3.1431
_cell_length_b 11.0674
_cell_length_c 11.0656
_cell_angle_alpha 90.00
_cell_angle_beta 90.00
_cell_angle_gamma 90.00
loop_
_atom_site_label
_atom_site_type_symbol
_atom_site_fract_x
_atom_site_fract_y
_atom_site_fract_z
Ca1 Ca 0.0000 0.0989 0.2500
Sc1 Sc 0.0000 0.3693 0.0362
Si1 Si 0.0000 0.1718 0.7500
N1 N 0.0000 0.0000 0.0000
N2 N 0.0000 0.2590 0.6218
N3 N 0.0000 0.4161 0.2500
```